# Np2CuS4

A relaxed Np2CuS4 crystal (PBE, Alexandria via LeMat-Bulk).

abc: 7.7585 7.7585 7.7365
angles: 60.09 60.09 90.33
Closest atoms and distances in Å follow each position.
Positions (direct):
S  0.7497  0.7503  0.4980  1 Cu 2.39
S  0.7478  0.2483  0.5019  1 Cu 2.39
S  0.7483  0.2478  0.0020  1 Cu 2.39
S  0.2522  0.7517  0.4981  1 Cu 2.39
S  0.2517  0.7522  0.9980  1 Cu 2.39
Np  0.5000  0.5000  0.5000  6 S 2.72-2.75
Np  0.0000  0.0000  0.0000  6 S 2.72-2.75
S  0.7497  0.7503  0.0020  1 Cu 2.39
Cu  0.1252  0.3749  0.2500  4 S 2.39
S  0.2503  0.2497  0.5020  1 Cu 2.39
Cu  0.8748  0.6251  0.7500  4 S 2.39
Np  0.5000  0.0000  0.0000  6 S 2.72-2.75
Np  0.5000  0.0000  0.5000  6 S 2.72-2.75
S  0.2503  0.2497  0.9980  1 Cu 2.39

## Properties
The calculation puts the formation energy (no corrections) at -1.002 eV/atom. As for the space-group type: No. 141.


# Np2Cu2S7

A relaxed Np2Cu2S7 crystal (PBE, Alexandria via LeMat-Bulk).

abc: 6.5190 6.8903 6.8903
angles: 118.91 98.36 98.36
Closest atoms and distances in Å follow each position.
Positions (direct):
S  0.7278  0.4291  0.0652  1 Cu 2.21
Np  0.5000  0.6680  0.3320  6 S 2.62-2.64
S  0.2650  0.3084  0.3084  1 S 2.35
S  0.7278  0.0652  0.4291  1 Cu 2.21
S  0.7350  0.6916  0.6916  1 S 2.35
S  0.0000  0.0000  0.0000  2 S 2.35, 2 Cu 2.36
Cu  0.2301  0.7947  0.7947  3 S 2.21-2.36
S  0.2722  0.9348  0.5709  1 Cu 2.21
S  0.2722  0.5709  0.9348  1 Cu 2.21
Np  0.5000  0.3320  0.6680  6 S 2.62-2.64
Cu  0.7699  0.2053  0.2053  3 S 2.21-2.36

## Properties
The calculation puts the formation energy (no corrections) at -0.615 eV/atom. As for the space-group type: No. 12.


# NpCuSbS

A relaxed NpCuSbS crystal (PBE, Alexandria via LeMat-Bulk).

abc: 4.4203 4.4203 8.5159
angles: 90.00 90.00 90.00
Closest atoms and distances in Å follow each position.
Positions (direct):
Cu  0.0000  0.0000  0.0000  4 Sb 2.63
Sb  0.5000  0.0000  0.1683  4 Cu 2.63
Cu  0.5000  0.5000  0.0000  4 Sb 2.63
Sb  0.0000  0.5000  0.8317  4 Cu 2.63
S  0.5000  0.5000  0.5000  4 Np 2.71
Np  0.0000  0.5000  0.3164  4 S 2.71
Np  0.5000  0.0000  0.6836  4 S 2.71
S  0.0000  0.0000  0.5000  4 Np 2.71

## Properties
The calculation puts the formation energy (no corrections) at -0.577 eV/atom. As for the space-group type: No. 129.


# NpCuSbS4

A relaxed NpCuSbS4 crystal (PBE, Alexandria via LeMat-Bulk).

abc: 7.6479 7.7421 7.7421
angles: 60.49 60.40 60.40
Closest atoms and distances in Å follow each position.
Positions (direct):
Cu  0.6256  0.6244  0.1244  4 S 2.36-2.37
S  0.2484  0.7467  0.2467  1 Cu 2.37
S  0.2433  0.7474  0.7661  1 Cu 2.36
S  0.7582  0.7467  0.2467  1 Cu 2.37
Sb  0.5000  0.0000  0.5000  6 S 2.78
S  0.7516  0.2533  0.7533  1 Cu 2.37
Np  0.0000  0.5000  0.5000  6 S 2.67-2.71
S  0.2433  0.2661  0.2474  1 Cu 2.36
Np  0.0000  0.0000  0.0000  6 S 2.67-2.71
Sb  0.0000  0.0000  0.5000  6 S 2.78
S  0.2418  0.2533  0.7533  1 Cu 2.37
S  0.7567  0.7339  0.7526  1 Cu 2.36
S  0.7567  0.2526  0.2339  1 Cu 2.36
Cu  0.3744  0.3756  0.8756  4 S 2.36-2.37

## Properties
The calculation puts the formation energy (no corrections) at -0.636 eV/atom. As for the space-group type: No. 74.


# Np3Sc3CuS8

A relaxed Np3Sc3CuS8 crystal (PBE, Alexandria via LeMat-Bulk).

abc: 7.5452 7.5456 7.5296
angles: 120.07 90.00 120.00
Closest atoms and distances in Å follow each position.
Positions (direct):
Cu  0.0000  0.0000  0.5000  6 S 2.63
Np  0.0000  0.5000  0.0000  6 S 2.72
S  0.7532  0.5064  0.2635  2 Sc 2.61, 1 Cu 2.63, 2 Np 2.72
Np  0.5000  0.5000  0.0000  6 S 2.72
Sc  0.0000  0.5000  0.5000  6 S 2.61
S  0.2554  0.5108  0.2663  3 Sc 2.61, 3 Np 2.72
S  0.2467  0.9897  0.7364  2 Sc 2.61, 1 Cu 2.63, 2 Np 2.72
Np  0.0000  0.0000  0.0000  6 S 2.72
Sc  0.5000  0.5000  0.5000  6 S 2.61
S  0.7533  0.0103  0.2636  2 Sc 2.61, 1 Cu 2.63, 2 Np 2.72
S  0.2568  0.0103  0.2638  2 Sc 2.61, 1 Cu 2.63, 2 Np 2.72
S  0.2468  0.4936  0.7365  2 Sc 2.61, 1 Cu 2.63, 2 Np 2.72
S  0.7432  0.9897  0.7362  2 Sc 2.61, 1 Cu 2.63, 2 Np 2.72
Sc  0.5000  0.0000  0.5000  6 S 2.61
S  0.7446  0.4892  0.7337  3 Sc 2.61, 3 Np 2.72

## Properties
The calculation puts the formation energy (no corrections) at -1.438 eV/atom. As for the space-group type: No. 166.


# Np2ScCuS5

A relaxed Np2ScCuS5 crystal (PBE, Alexandria via LeMat-Bulk).

abc: 3.7507 8.1609 11.5489
angles: 90.00 90.00 103.29
Closest atoms and distances in Å follow each position.
Positions (direct):
S  0.6546  0.3093  0.5186  1 Sc 2.58, 4 Np 2.81-2.84
S  0.4969  0.9938  0.7511  1 Cu 2.24
Np  0.1135  0.2270  0.3434  8 S 2.78-3.07
Cu  0.5556  0.1111  0.9275  4 S 2.24-2.32
Np  0.8865  0.7730  0.8434  8 S 2.78-3.07
S  0.3034  0.6068  0.6797  2 Sc 2.61, 1 Np 2.92
Cu  0.4444  0.8889  0.4275  4 S 2.24-2.32
S  0.0193  0.0386  0.0237  2 Cu 2.25
S  0.6966  0.3932  0.1797  2 Sc 2.61, 1 Np 2.92
Np  0.8801  0.7602  0.1937  8 S 2.79-2.96
S  0.3454  0.6907  0.0186  1 Sc 2.58, 4 Np 2.81-2.84
Np  0.1199  0.2398  0.6937  8 S 2.79-2.96
S  0.6939  0.3879  0.8627  1 Cu 2.32
Sc  0.8170  0.6341  0.5236  6 S 2.58-2.65
S  0.3061  0.6121  0.3627  1 Cu 2.32
Sc  0.1830  0.3659  0.0236  6 S 2.58-2.65
S  0.9807  0.9614  0.5237  2 Cu 2.25
S  0.5031  0.0062  0.2511  1 Cu 2.24

## Properties
The calculation puts the formation energy (no corrections) at -1.343 eV/atom. As for the space-group type: No. 36.


> Look up the formation energy (no corrections) of the fourth one.

-0.636 eV/atom